Material: MgZr2Rh
Method: DFT, PBE
State: relaxed

CIF file:
```
data_MgZr2Rh
_cell_length_a 7.795
_cell_length_b 7.795
_cell_length_c 6.209
_cell_angle_alpha 51.12
_cell_angle_beta 51.12
_cell_angle_gamma 90.00
_symmetry_space_group_name_H-M 'P 1'
_symmetry_Int_Tables_number 1
loop_
_symmetry_equiv_pos_as_xyz
'x,y,z'
loop_
_atom_site_label
_atom_site_type_symbol
_atom_site_fract_x
_atom_site_fract_y
_atom_site_fract_z
Zr1 Zr 0.073 0.625 0.250
Zr2 Zr 0.375 0.323 0.750
Zr3 Zr 0.875 0.927 0.750
Zr4 Zr 0.677 0.125 0.250
Mg1 Mg 0.250 0.750 0.500
Mg2 Mg 0.500 0.500 0.000
Rh1 Rh 0.000 0.000 0.000
Rh2 Rh 0.750 0.250 0.500
```

* distance to the lowest polymorph of the same formula: 329 meV/atom
* formation energy from the elements: -0.08 eV per atom
* final energy: -6.588 eV/atom
* crystal system: tetragonal
* magnetic moment: 0.0 μB/f.u.